NpAl2Au (PBE-GGA, relaxed); E_form = -0.053 eV per atom; calculated volume = 20.01 Å³ per atom; SG = No. 123; raw total energy = -23.9 eV/f.u.
1.0
4.298 0.000 0.000
0.000 4.298 0.000
0.000 0.000 4.332
Np Al Au
1 2 1
Direct
0.000 0.000 0.000
0.000 0.500 0.500
0.500 0.000 0.500
0.500 0.500 0.000